{"formula": "Ti5CrGe5", "functional": "PBE-GGA", "state": "optimized geometry", "crystal_system": "monoclinic", "delta_e_f_mev_per_atom": -132, "lattice": [[5.1248, 0.0000, 0.0000], [-2.5624, 5.5623, -0.1958], [0.0000, -2.3081, 7.0419]], "species": ["Ge", "Ge", "Ge", "Ge", "Ge", "Ti", "Ti", "Ti", "Ti", "Ti", "Cr"], "fractional_positions": [[0.1656, 0.3312, 0.8405], [0.1640, 0.3279, 0.3281], [0.8344, 0.6688, 0.1595], [0.5000, 0.0000, 0.0000], [0.8360, 0.6721, 0.6719], [0.3265, 0.6530, 0.6654], [0.0000, 0.0000, 0.5000], [0.6602, 0.3203, 0.8241], [0.3398, 0.6797, 0.1759], [0.6735, 0.3470, 0.3346], [0.0000, 0.0000, 0.0000]]}


{"formula": "TiCr2Ge", "functional": "PBE-GGA", "state": "optimized geometry", "crystal_system": "tetragonal", "delta_e_f_mev_per_atom": 562, "lattice": [[6.7799, 0.0000, 0.0000], [0.0000, 6.7799, 0.0000], [3.3900, 3.3900, 2.5689]], "species": ["Ge", "Ge", "Ti", "Ti", "Cr", "Cr", "Cr", "Cr"], "fractional_positions": [[0.0000, 0.0000, 0.0000], [0.7500, 0.2500, 0.5000], [0.2500, 0.7500, 0.5000], [0.5000, 0.5000, 0.0000], [0.8750, 0.8909, 0.7500], [0.3750, 0.3591, 0.7500], [0.1091, 0.6250, 0.2500], [0.6409, 0.1250, 0.2500]]}


{"formula": "Ti4Cr2Ge5", "functional": "PBE-GGA", "state": "optimized geometry", "crystal_system": "monoclinic", "delta_e_f_mev_per_atom": -349, "e_above_lowest_polymorph_mev_per_atom": 140, "lattice": [[7.8292, 4.8822, -0.0011], [-7.8292, 4.8822, -0.0011], [0.0000, 2.6972, 4.4465]], "species": ["Ge", "Ge", "Ge", "Ge", "Ge", "Ge", "Ge", "Ge", "Ge", "Ge", "Ti", "Ti", "Ti", "Ti", "Ti", "Ti", "Ti", "Ti", "Cr", "Cr", "Cr", "Cr"], "fractional_positions": [[0.5037, 0.5037, 0.7576], [0.7123, 0.2877, 0.5000], [0.2877, 0.7123, 0.5000], [0.8258, 0.1742, 0.0000], [0.0915, 0.3073, 0.3096], [0.6927, 0.9085, 0.6904], [0.1742, 0.8258, 0.0000], [0.4963, 0.4963, 0.2424], [0.9085, 0.6927, 0.6904], [0.3073, 0.0915, 0.3096], [0.1905, 0.3711, 0.7221], [0.5000, 0.0000, 0.0000], [0.6289, 0.8095, 0.2779], [0.3711, 0.1905, 0.7221], [0.8095, 0.6289, 0.2779], [0.0010, 0.0010, 0.2416], [0.9990, 0.9990, 0.7584], [0.0000, 0.5000, 0.0000], [0.0000, 0.5000, 0.5000], [0.6498, 0.3502, 0.0000], [0.3502, 0.6498, 0.0000], [0.5000, 0.0000, 0.5000]]}


{"formula": "TiCrGe2", "functional": "PBE-GGA", "state": "optimized geometry", "crystal_system": "cubic", "delta_e_f_mev_per_atom": -24, "e_above_lowest_polymorph_mev_per_atom": 119, "lattice": [[-1.9310, -3.7534, -1.0596], [-4.3408, -0.2309, -0.2085], [-1.9740, -0.4189, -3.8558]], "species": ["Ge", "Ge", "Ti", "Cr"], "fractional_positions": [[0.2500, 0.2500, 0.2500], [0.7500, 0.7500, 0.7500], [0.0000, 0.0000, 0.0000], [0.5000, 0.5000, 0.5000]]}


{"formula": "TiZnCr2Ge", "functional": "PBE-GGA", "state": "optimized geometry", "crystal_system": "tetragonal", "delta_e_f_mev_per_atom": 1078, "lattice": [[4.6383, 0.0000, 0.0000], [0.0000, 4.4994, 0.0000], [0.0000, 0.0000, 4.6383]], "species": ["Cr", "Cr", "Ti", "Ge", "Zn"], "fractional_positions": [[0.0000, 0.0000, 0.5000], [0.5000, 0.0000, 0.0000], [0.5000, 0.5000, 0.5000], [0.0000, 0.5000, 0.0000], [0.0000, 0.0000, 0.0000]]}


{"formula": "TlCr3Ge", "functional": "PBE-GGA", "state": "optimized geometry", "crystal_system": "cubic", "delta_e_f_mev_per_atom": 1641, "e_above_lowest_polymorph_mev_per_atom": 745, "lattice": [[-0.2252, 5.1203, 0.1177], [-1.8254, 0.0299, -4.7905], [-4.7853, -0.2524, 1.8219]], "species": ["Ge", "Cr", "Cr", "Cr", "Tl"], "fractional_positions": [[0.5000, 0.5000, 0.5000], [0.5000, 0.0000, 0.0000], [0.0000, 0.0000, 0.5000], [0.0000, 0.5000, 0.0000], [0.0000, 0.0000, 0.0000]]}


{"formula": "TlCrGe3", "functional": "PBE-GGA", "state": "optimized geometry", "crystal_system": "cubic", "delta_e_f_mev_per_atom": 203, "e_above_lowest_polymorph_mev_per_atom": 0, "lattice": [[-3.8850, -2.4812, 1.1392], [2.5736, -2.6669, 2.9683], [-0.9112, 3.0460, 3.5268]], "species": ["Ge", "Ge", "Ge", "Cr", "Tl"], "fractional_positions": [[0.5000, 0.0000, 0.0000], [0.0000, 0.5000, 0.0000], [0.0000, 0.0000, 0.5000], [0.0000, 0.0000, 0.0000], [0.5000, 0.5000, 0.5000]]}


{"formula": "Tl3CrGe", "functional": "PBE-GGA", "state": "optimized geometry", "crystal_system": "cubic", "delta_e_f_mev_per_atom": 795, "e_above_lowest_polymorph_mev_per_atom": 87, "lattice": [[5.5428, 0.0000, 0.0000], [0.0000, 5.5428, 0.0000], [0.0000, 0.0000, 5.5428]], "species": ["Tl", "Tl", "Tl", "Cr", "Ge"], "fractional_positions": [[0.0000, 0.0000, 0.5000], [0.5000, 0.0000, 0.0000], [0.0000, 0.5000, 0.0000], [0.5000, 0.5000, 0.5000], [0.0000, 0.0000, 0.0000]]}


{"formula": "Tl2CrGe2", "functional": "PBE-GGA", "state": "optimized geometry", "crystal_system": "tetragonal", "delta_e_f_mev_per_atom": 315, "lattice": [[6.7386, 0.0000, 0.0000], [0.0000, 6.7386, 0.0000], [0.0000, 0.0000, 5.0567]], "species": ["Cr", "Cr", "Tl", "Tl", "Tl", "Tl", "Ge", "Ge", "Ge", "Ge"], "fractional_positions": [[0.0000, 0.0000, 0.0000], [0.5000, 0.5000, 0.0000], [0.1840, 0.6840, 0.5000], [0.3160, 0.1840, 0.5000], [0.6840, 0.8160, 0.5000], [0.8160, 0.3160, 0.5000], [0.1354, 0.3646, 0.0000], [0.6354, 0.1354, 0.0000], [0.8646, 0.6354, 0.0000], [0.3646, 0.8646, 0.0000]]}


{"formula": "TlCr3Ge", "functional": "PBE-GGA", "state": "optimized geometry", "crystal_system": "cubic", "delta_e_f_mev_per_atom": 896, "e_above_lowest_polymorph_mev_per_atom": 0, "lattice": [[-0.5799, 4.1807, -1.9242], [-3.4831, -1.6663, -2.5707], [-3.0082, 1.1235, 3.3475]], "species": ["Cr", "Cr", "Cr", "Ge", "Tl"], "fractional_positions": [[0.0000, 0.5000, 0.0000], [0.5000, 0.0000, 0.0000], [0.0000, 0.0000, 0.5000], [0.0000, 0.0000, 0.0000], [0.5000, 0.5000, 0.5000]]}


{"formula": "Tl3CrGe", "functional": "PBE-GGA", "state": "optimized geometry", "crystal_system": "cubic", "delta_e_f_mev_per_atom": 708, "e_above_lowest_polymorph_mev_per_atom": 0, "lattice": [[5.2945, 0.0000, 0.0000], [0.0000, 5.2945, 0.0000], [0.0000, 0.0000, 5.2945]], "species": ["Cr", "Tl", "Tl", "Tl", "Ge"], "fractional_positions": [[0.0000, 0.0000, 0.0000], [0.0000, 0.5000, 0.0000], [0.5000, 0.0000, 0.0000], [0.0000, 0.0000, 0.5000], [0.5000, 0.5000, 0.5000]]}


{"formula": "TlCr2Ge", "functional": "PBE-GGA", "state": "optimized geometry", "crystal_system": "tetragonal", "delta_e_f_mev_per_atom": 857, "lattice": [[3.9999, 0.0000, 0.0000], [0.0000, 3.9999, 0.0000], [1.9999, 1.9999, 8.9874]], "species": ["Cr", "Cr", "Cr", "Cr", "Ge", "Ge", "Tl", "Tl"], "fractional_positions": [[0.3750, 0.4864, 0.7500], [0.5136, 0.1250, 0.2500], [0.8750, 0.7636, 0.7500], [0.2364, 0.6250, 0.2500], [0.5000, 0.5000, 0.0000], [0.2500, 0.7500, 0.5000], [0.0000, 0.0000, 0.0000], [0.7500, 0.2500, 0.5000]]}


{"formula": "TlCr2GeW", "functional": "PBE-GGA", "state": "optimized geometry", "crystal_system": "tetragonal", "delta_e_f_mev_per_atom": 1091, "lattice": [[-3.3906, -2.8811, -1.9248], [0.6787, -3.2305, 3.6400], [-3.3996, 2.2457, 2.6270]], "species": ["Tl", "Cr", "Cr", "W", "Ge"], "fractional_positions": [[0.5000, 0.5000, 0.5000], [0.5000, 0.0000, 0.0000], [0.0000, 0.0000, 0.5000], [0.0000, 0.0000, 0.0000], [0.0000, 0.5000, 0.0000]]}